# RbGeI2Cl

An optimized crystal structure of RbGeI2Cl (GGA-PBE, Alexandria via LeMat-Bulk).

offset from the most stable computed form: 0.0000 eV/atom

Cell lengths 8.4639, 8.4639, 8.1770 Å; angles 121.17, 121.17, 90.00 degrees
Element x y z (fractional)
I (0.7220, 0.2220, 0.9948)
I (0.7728, 0.7220, 0.9948)
I (0.2220, 0.2728, 0.9948)
I (0.2728, 0.7728, 0.9948)
Rb (0.7494, 0.2494, 0.4988)
Rb (0.2494, 0.7494, 0.4988)
Ge (0.5237, 0.5237, 0.0474)
Ge (0.0237, 0.0237, 0.0474)
Cl (0.7323, 0.7323, 0.4646)
Cl (0.2323, 0.2323, 0.4646)